Arrangement A

# PaIn2Cl8 | the Alexandria database | PBE | relaxed
# Total magnetization: 0.000 μB per cell
# Space group: C2/m, No. 12
data_PaIn2Cl8
_cell_length_a 8.016
_cell_length_b 8.016
_cell_length_c 7.695
_cell_angle_alpha 100.75
_cell_angle_beta 100.75
_cell_angle_gamma 55.01
_symmetry_space_group_name_H-M 'P 1'
_symmetry_Int_Tables_number 1
_symmetry_space_group_name_Hall 'P 1'
loop_
_atom_site_label
_atom_site_fract_x
_atom_site_fract_y
_atom_site_fract_z
Pa1 0.000 0.000 0.000
In1 0.250 0.250 0.412
In2 0.750 0.750 0.588
Cl1 0.106 0.106 0.777
Cl2 0.124 0.652 0.809
Cl3 0.348 0.876 0.191
Cl4 0.375 0.375 0.243
Cl5 0.625 0.625 0.757
Cl6 0.652 0.124 0.809
Cl7 0.876 0.348 0.191
Cl8 0.894 0.894 0.223

---

Arrangement B

# PaIn2Cl8 | the Alexandria database | PBE | relaxed
# Total magnetization: 0.883 μB per cell
# Space group: C2/m, No. 12
data_PaIn2Cl8
_cell_length_a 7.997
_cell_length_b 7.997
_cell_length_c 6.473
_cell_angle_alpha 104.75
_cell_angle_beta 104.75
_cell_angle_gamma 73.30
_symmetry_space_group_name_H-M 'P 1'
_symmetry_Int_Tables_number 1
_symmetry_space_group_name_Hall 'P 1'
loop_
_atom_site_label
_atom_site_fract_x
_atom_site_fract_y
_atom_site_fract_z
Pa1 0.000 0.000 0.000
In1 0.371 0.371 0.616
In2 0.629 0.629 0.384
Cl1 0.065 0.687 0.754
Cl2 0.126 0.126 0.769
Cl3 0.313 0.935 0.246
Cl4 0.412 0.412 0.236
Cl5 0.588 0.588 0.764
Cl6 0.687 0.065 0.754
Cl7 0.874 0.874 0.231
Cl8 0.935 0.313 0.246

---

The structure with the most favorable energy is arrangement B; the runner-up is 79 meV/atom above it.

---

Arrangement A

# In2PbCl | the Alexandria database | PBE | relaxed
# Total magnetization: 0.000 μB per cell
# Space group: P2/m, No. 10
data_In2PbCl
_cell_length_a 3.397
_cell_length_b 5.701
_cell_length_c 6.002
_cell_angle_alpha 90.00
_cell_angle_beta 102.33
_cell_angle_gamma 90.00
_symmetry_space_group_name_H-M 'P 1'
_symmetry_Int_Tables_number 1
_symmetry_space_group_name_Hall 'P 1'
loop_
_atom_site_label
_atom_site_fract_x
_atom_site_fract_y
_atom_site_fract_z
In1 0.160 0.000 0.263
In2 0.840 0.000 0.737
Pb1 0.500 0.500 0.000
Cl1 0.500 0.500 0.500

---

Arrangement B

# In2PbCl | the Alexandria database | PBE | relaxed
# Total magnetization: 0.000 μB per cell
# Space group: Fm-3m, No. 225
data_In2PbCl
_cell_length_a 5.380
_cell_length_b 5.380
_cell_length_c 5.380
_cell_angle_alpha 60.00
_cell_angle_beta 60.00
_cell_angle_gamma 60.00
_symmetry_space_group_name_H-M 'P 1'
_symmetry_Int_Tables_number 1
_symmetry_space_group_name_Hall 'P 1'
loop_
_atom_site_label
_atom_site_fract_x
_atom_site_fract_y
_atom_site_fract_z
In1 0.250 0.250 0.250
In2 0.750 0.750 0.750
Pb1 0.000 0.000 0.000
Cl1 0.500 0.500 0.500

---

The structure with the most favorable energy is arrangement A; the runner-up is 58 meV/atom above it.

---

Arrangement A

# In2PbCl | the Alexandria database | PBE | relaxed
# Total magnetization: 0.000 μB per cell
# Space group: R3m, No. 160
data_In2PbCl
_cell_length_a 10.090
_cell_length_b 10.090
_cell_length_c 10.090
_cell_angle_alpha 20.88
_cell_angle_beta 20.88
_cell_angle_gamma 20.88
_symmetry_space_group_name_H-M 'P 1'
_symmetry_Int_Tables_number 1
_symmetry_space_group_name_Hall 'P 1'
loop_
_atom_site_label
_atom_site_fract_x
_atom_site_fract_y
_atom_site_fract_z
In1 0.000 0.000 0.000
In2 0.179 0.179 0.179
Pb1 0.758 0.758 0.758
Cl1 0.581 0.581 0.581

---

Arrangement B

# In2PbCl | the Alexandria database | PBE | relaxed
# Total magnetization: 0.000 μB per cell
# Space group: Cmmm, No. 65
data_In2PbCl
_cell_length_a 3.463
_cell_length_b 3.463
_cell_length_c 10.373
_cell_angle_alpha 90.00
_cell_angle_beta 90.00
_cell_angle_gamma 115.93
_symmetry_space_group_name_H-M 'P 1'
_symmetry_Int_Tables_number 1
_symmetry_space_group_name_Hall 'P 1'
loop_
_atom_site_label
_atom_site_fract_x
_atom_site_fract_y
_atom_site_fract_z
In1 0.000 0.000 0.222
In2 0.000 0.000 0.778
Pb1 0.500 0.500 0.500
Cl1 0.500 0.500 0.000

---

Arrangement C

# In2PbCl | the Alexandria database | PBE | relaxed
# Total magnetization: 0.000 μB per cell
# Space group: Cmm2, No. 35
data_In2PbCl
_cell_length_a 3.503
_cell_length_b 3.503
_cell_length_c 9.977
_cell_angle_alpha 90.00
_cell_angle_beta 90.00
_cell_angle_gamma 114.24
_symmetry_space_group_name_H-M 'P 1'
_symmetry_Int_Tables_number 1
_symmetry_space_group_name_Hall 'P 1'
loop_
_atom_site_label
_atom_site_fract_x
_atom_site_fract_y
_atom_site_fract_z
In1 0.000 0.000 0.000
In2 0.500 0.500 0.258
Pb1 0.000 0.000 0.527
Cl1 0.500 0.500 0.789

---

Arrangement D

# In2PbCl | the Alexandria database | PBE | relaxed
# Total magnetization: 0.000 μB per cell
# Space group: I-4m2, No. 119
data_In2PbCl
_cell_length_a 5.658
_cell_length_b 5.658
_cell_length_c 5.658
_cell_angle_alpha 127.31
_cell_angle_beta 127.31
_cell_angle_gamma 77.75
_symmetry_space_group_name_H-M 'P 1'
_symmetry_Int_Tables_number 1
_symmetry_space_group_name_Hall 'P 1'
loop_
_atom_site_label
_atom_site_fract_x
_atom_site_fract_y
_atom_site_fract_z
In1 0.000 0.000 0.000
In2 0.750 0.250 0.500
Pb1 0.250 0.750 0.500
Cl1 0.500 0.500 0.000

---

The structure with the most favorable energy is arrangement A; the runner-up is 10 meV/atom above it.

---

Arrangement A

# In2PbCl | the Alexandria database | PBE | relaxed
# Total magnetization: 0.000 μB per cell
# Space group: C2/m, No. 12
data_In2PbCl
_cell_length_a 6.470
_cell_length_b 6.470
_cell_length_c 5.295
_cell_angle_alpha 95.22
_cell_angle_beta 95.22
_cell_angle_gamma 31.51
_symmetry_space_group_name_H-M 'P 1'
_symmetry_Int_Tables_number 1
_symmetry_space_group_name_Hall 'P 1'
loop_
_atom_site_label
_atom_site_fract_x
_atom_site_fract_y
_atom_site_fract_z
In1 0.217 0.217 0.249
In2 0.783 0.783 0.751
Pb1 0.500 0.500 0.000
Cl1 0.000 0.000 0.500

---

Arrangement B

# In2PbCl | the Alexandria database | PBE | relaxed
# Total magnetization: 0.000 μB per cell
# Space group: P4/mmm, No. 123
data_In2PbCl
_cell_length_a 3.497
_cell_length_b 3.497
_cell_length_c 9.232
_cell_angle_alpha 90.00
_cell_angle_beta 90.00
_cell_angle_gamma 90.00
_symmetry_space_group_name_H-M 'P 1'
_symmetry_Int_Tables_number 1
_symmetry_space_group_name_Hall 'P 1'
loop_
_atom_site_label
_atom_site_fract_x
_atom_site_fract_y
_atom_site_fract_z
In1 0.000 0.000 0.229
In2 0.000 0.000 0.771
Pb1 0.500 0.500 0.500
Cl1 0.500 0.500 0.000

---

The structure with the most favorable energy is arrangement A; the runner-up is 18 meV/atom above it.